[1]
# PBE Ti2FeCo, optimized geometry
data_Ti2FeCo
_chemical_formula_sum 'Ti8 Fe4 Co4'
_cell_length_a 6.405
_cell_length_b 6.405
_cell_length_c 5.348
_cell_angle_alpha 90.00
_cell_angle_beta 90.00
_cell_angle_gamma 90.00
_symmetry_space_group_name_H-M 'I -4 2 d'
_symmetry_Int_Tables_number 122
_symmetry_space_group_name_Hall 'I -4 2bw'
loop_
_atom_site_label
_atom_site_type_symbol
_atom_site_fract_x
_atom_site_fract_y
_atom_site_fract_z
Ti1 Ti 0.249 0.750 0.125
Fe1 Fe 0.000 0.000 0.000
Co1 Co 0.000 0.000 0.500
# Energy of formation ... 11.9 kJ/mol of atoms

***

[2]
# PBE Ba2CrOs, optimized geometry
data_Ba2CrOs
_chemical_formula_sum 'Ba4 Cr2 Os2'
_cell_length_a 4.153
_cell_length_b 5.019
_cell_length_c 13.121
_cell_angle_alpha 90.00
_cell_angle_beta 90.00
_cell_angle_gamma 90.00
_symmetry_space_group_name_H-M 'I m m 2'
_symmetry_Int_Tables_number 44
loop_
_symmetry_equiv_pos_as_xyz
'x,y,z'
'-x,-y,z'
'-x,y,z'
'x,-y,z'
'x+1/2,y+1/2,z+1/2'
'-x+1/2,-y+1/2,z+1/2'
'-x+1/2,y+1/2,z+1/2'
'x+1/2,-y+1/2,z+1/2'
loop_
_atom_site_label
_atom_site_type_symbol
_atom_site_fract_x
_atom_site_fract_y
_atom_site_fract_z
Ba1 Ba 0.000 0.000 0.000
Ba2 Ba 0.000 0.500 0.234
Cr1 Cr 0.000 0.000 0.413
Os1 Os 0.000 0.500 0.831
# Energy of formation ... 58.1 kJ/mol of atoms

***

[3]
# PBE Zn2FeCl, optimized geometry
data_Zn2FeCl
_chemical_formula_sum 'Zn4 Fe2 Cl2'
_cell_length_a 2.870
_cell_length_b 4.264
_cell_length_c 11.967
_cell_angle_alpha 90.00
_cell_angle_beta 90.00
_cell_angle_gamma 90.00
_symmetry_space_group_name_H-M 'I m m 2'
_symmetry_Int_Tables_number 44
loop_
_symmetry_equiv_pos_as_xyz
'x,y,z'
'-x,-y,z'
'-x,y,z'
'x,-y,z'
'x+1/2,y+1/2,z+1/2'
'-x+1/2,-y+1/2,z+1/2'
'-x+1/2,y+1/2,z+1/2'
'x+1/2,-y+1/2,z+1/2'
loop_
_atom_site_label
_atom_site_type_symbol
_atom_site_fract_x
_atom_site_fract_y
_atom_site_fract_z
Zn1 Zn 0.000 0.000 0.000
Zn2 Zn 0.000 0.500 0.133
Fe1 Fe 0.000 0.000 0.461
Cl1 Cl 0.000 0.500 0.802
# Uncorrected formation energy ... 0.042 eV per atom

***

What is the formula in the first record? Ti2FeCo